[1]
! MnV2Pt8 PBE optimized geometry; values from VASP
&SYSTEM
  ibrav = 0, nat = 11, ntyp = 3
/
ATOMIC_SPECIES
Mn 54.94 Mn.upf
Pt 195.08 Pt.upf
V 50.94 V.upf
CELL_PARAMETERS angstrom
3.7646 0.0000 -1.0822
-0.6092 5.8714 -2.1192
0.0554 0.5152 7.2816
ATOMIC_POSITIONS angstrom
Mn 1.8823 0.0000 -0.5411
Pt 2.7733 5.0615 2.5586
Pt 1.1819 0.8328 4.1114
Pt 2.0003 2.7889 -0.1304
Pt 2.0289 5.5538 -0.0310
Pt -0.2697 4.3269 -0.9380
Pt 3.4804 2.0597 5.0184
Pt 0.4374 1.3251 1.5217
Pt 1.2104 3.5977 4.2108
V 2.7460 2.3202 2.4637
V 0.4647 4.0664 1.6166
! Formation energy, meV/atom: -428
! Total moment, μB per cell: 3.49
! Uncorrected energy, eV/atom: -7.312
! Theoretical density, g cm⁻³: 17.21



[2]
! NaGaIr PBE optimized geometry; values from VASP
&SYSTEM
  ibrav = 0, nat = 6, ntyp = 3
/
ATOMIC_SPECIES
Na 22.99 Na.upf
Ir 192.22 Ir.upf
Ga 69.72 Ga.upf
CELL_PARAMETERS angstrom
-3.8841 1.9662 0.5764
-2.0039 -3.9030 -0.1881
0.6930 -0.6668 6.5183
ATOMIC_POSITIONS angstrom
Na -4.4753 -2.1821 4.1492
Na -1.7918 -0.9734 1.7389
Ir -3.2557 -0.4450 6.3943
Ir -2.3185 -3.3773 6.0121
Ga -4.8443 -1.8380 0.8968
Ga -1.4229 -1.3175 4.9913
! Formation energy, meV/atom: -175
! Total moment, μB per cell: 0.00
! Uncorrected energy, eV/atom: -4.577
! Theoretical density, g cm⁻³: 7.45
! Energy above the lowest structure with this stoichiometry, meV per atom: 0



[3]
! CuPbCl2 PBE optimized geometry; values from VASP
&SYSTEM
  ibrav = 0, nat = 4, ntyp = 3
/
ATOMIC_SPECIES
Cl 35.45 Cl.upf
Pb 207.20 Pb.upf
Cu 63.55 Cu.upf
CELL_PARAMETERS angstrom
-2.4796 -4.1686 -4.3694
3.6418 -5.3933 0.5165
-1.3867 -2.9801 0.9903
ATOMIC_POSITIONS angstrom
Cl 0.5811 -4.7809 -1.9264
Cl 0.0000 0.0000 0.0000
Pb 1.1276 -4.1867 0.7534
Cu -1.9331 -3.5743 -1.6895
! Uncorrected formation energy, eV per atom: -0.232
! Total moment, μB per cell: 0.00
! Uncorrected energy, eV/atom: -3.106
! Theoretical density, g cm⁻³: 5.28
! Energy above the lowest structure with this stoichiometry, meV per atom: 271



[4]
! IrCF2 PBE optimized geometry; values from VASP
&SYSTEM
  ibrav = 0, nat = 4, ntyp = 3
/
ATOMIC_SPECIES
F 19.00 F.upf
C 12.01 C.upf
Ir 192.22 Ir.upf
CELL_PARAMETERS angstrom
1.5203 0.0000 7.6845
-0.7601 1.3166 7.6845
-0.7601 -1.3166 7.6845
ATOMIC_POSITIONS angstrom
F 0.0000 0.0000 1.9635
F 0.0000 0.0000 21.0899
C 0.0000 0.0000 11.5267
Ir 0.0000 0.0000 0.0000
! Uncorrected formation energy, eV per atom: 0.785
! Total moment, μB per cell: 0.00
! Uncorrected energy, eV/atom: -4.672
! Theoretical density, g cm⁻³: 8.72
! Energy above the lowest structure with this stoichiometry, meV per atom: 667



[5]
! Cs2KHgBr PBE optimized geometry; values from VASP
&SYSTEM
  ibrav = 0, nat = 5, ntyp = 4
/
ATOMIC_SPECIES
K 39.10 K.upf
Cs 132.91 Cs.upf
Br 79.90 Br.upf
Hg 200.59 Hg.upf
CELL_PARAMETERS angstrom
-1.0729 2.6081 -6.5287
-6.5453 -2.7812 -0.0354
-2.2960 5.3713 2.5231
ATOMIC_POSITIONS angstrom
K -1.1480 2.6857 1.2615
Cs -0.5365 1.3041 -3.2643
Cs -3.2726 -1.3906 -0.0177
Br 0.0000 0.0000 0.0000
Hg -4.9571 2.5991 -2.0205
! Uncorrected formation energy, eV per atom: -0.677
! Total moment, μB per cell: 0.00
! Uncorrected energy, eV/atom: -1.632
! Theoretical density, g cm⁻³: 3.02



[6]
! Ta2PtAu PBE optimized geometry; values from VASP
&SYSTEM
  ibrav = 0, nat = 4, ntyp = 3
/
ATOMIC_SPECIES
Ta 180.95 Ta.upf
Pt 195.08 Pt.upf
Au 196.97 Au.upf
CELL_PARAMETERS angstrom
4.0400 0.0000 0.0000
0.0000 4.0400 0.0000
0.0000 0.0000 4.1709
ATOMIC_POSITIONS angstrom
Ta 0.0000 0.0000 0.0000
Ta 2.0200 2.0200 0.0000
Pt 0.0000 2.0200 2.0854
Au 2.0200 0.0000 2.0854
! Formation energy, meV/atom: -297
! Total moment, μB per cell: 0.00
! Uncorrected energy, eV/atom: -8.553
! Theoretical density, g cm⁻³: 18.39



[7]
! CaTm2Pa PBE optimized geometry; values from VASP
&SYSTEM
  ibrav = 0, nat = 4, ntyp = 3
/
ATOMIC_SPECIES
Pa 231.04 Pa.upf
Ca 40.08 Ca.upf
Tm 168.93 Tm.upf
CELL_PARAMETERS angstrom
3.4347 0.0000 0.0000
1.7173 2.9745 0.0000
1.7173 0.9915 11.9929
ATOMIC_POSITIONS angstrom
Pa 3.4347 1.9830 5.9964
Ca 0.0000 0.0000 0.0000
Tm 1.7173 0.9915 8.6592
Tm 5.1520 2.9745 3.3337
! Formation energy, meV/atom: 221
! Total moment, μB per cell: 0.00
! Uncorrected energy, eV/atom: -4.889
! Theoretical density, g cm⁻³: 8.25
! Energy above the lowest structure with this stoichiometry, meV per atom: 81



[8]
! PmPrCuP PBE optimized geometry; values from VASP
&SYSTEM
  ibrav = 0, nat = 4, ntyp = 4
/
ATOMIC_SPECIES
Pm 145.00 Pm.upf
P 30.97 P.upf
Cu 63.55 Cu.upf
Pr 140.91 Pr.upf
CELL_PARAMETERS angstrom
-0.2712 0.1920 5.0332
2.2556 -3.5500 2.7846
4.1011 1.1438 2.7049
ATOMIC_POSITIONS angstrom
Pm 0.0000 0.0000 0.0000
P 4.5641 -1.6606 7.8920
Cu 1.5214 -0.5535 2.6307
Pr 3.0427 -1.1071 5.2614
! Formation energy, meV/atom: -574
! Total moment, μB per cell: 0.00
! Uncorrected energy, eV/atom: -5.333
! Theoretical density, g cm⁻³: 6.96